No. 1
This record from the Alexandria database describes a relaxed structure of LaTm3Te4. The functional is PBE.

Output
Symmetry: Cmmm

Cell lengths 7.6271, 7.6271, 4.2878 Å; angles 90.00, 90.00, 108.40 degrees
Sites, in units of the cell vectors:
1 La 0.0000 0.0000 0.0000
2 Tm 0.0000 0.5000 0.5000
3 Tm 0.5000 0.0000 0.5000
4 Tm 0.5000 0.5000 0.0000
5 Te 0.2570 0.7430 0.0000
6 Te 0.2643 0.2643 0.5000
7 Te 0.7357 0.7357 0.5000
8 Te 0.7430 0.2570 0.0000

No. 2
This record from the Alexandria database describes a relaxed structure of LaTm2Te3. The functional is PBE.

Output
Symmetry: Immm

Cell lengths 7.6621, 7.6621, 7.6621 Å; angles 146.97, 132.02, 59.48 degrees
Sites, in units of the cell vectors:
1 La 0.0000 0.0000 0.0000
2 Tm 0.3429 0.3429 0.0000
3 Tm 0.6571 0.6571 0.0000
4 Te 0.1812 0.6812 0.5000
5 Te 0.5000 0.0000 0.5000
6 Te 0.8188 0.3188 0.5000

No. 3
This record from the Alexandria database describes a relaxed structure of La2TmTe5. The functional is PBE.

Output
Symmetry: P4/mmm

Cell lengths 7.4942, 7.4942, 5.2682 Å; angles 90.00, 90.00, 90.00 degrees
Sites, in units of the cell vectors:
1 La 0.0000 0.5000 0.0000
2 La 0.5000 0.0000 0.0000
3 Tm 0.0000 0.0000 0.5000
4 Te 0.0000 0.0000 0.0000
5 Te 0.2777 0.2777 0.5000
6 Te 0.2777 0.7223 0.5000
7 Te 0.7223 0.2777 0.5000
8 Te 0.7223 0.7223 0.5000

No. 4
This record from the Alexandria database describes a relaxed structure of La4Tm3Te8. The functional is PBE.

Output
Symmetry: R-3m

Cell lengths 9.7303, 9.7303, 9.7303 Å; angles 53.18, 53.18, 53.18 degrees
Sites, in units of the cell vectors:
1 La 0.0000 0.0000 0.0000
2 La 0.1446 0.1446 0.1446
3 La 0.5000 0.5000 0.5000
4 La 0.8554 0.8554 0.8554
5 Tm 0.0000 0.5000 0.5000
6 Tm 0.5000 0.0000 0.5000
7 Tm 0.5000 0.5000 0.0000
8 Te 0.2505 0.2505 0.7284
9 Te 0.2505 0.7284 0.2505
10 Te 0.2691 0.2691 0.2691
11 Te 0.2716 0.7495 0.7495
12 Te 0.7284 0.2505 0.2505
13 Te 0.7309 0.7309 0.7309
14 Te 0.7495 0.2716 0.7495
15 Te 0.7495 0.7495 0.2716

No. 5
This record from the Alexandria database describes a relaxed structure of La3YTm3Te8. The functional is PBE.

Output
Symmetry: R-3m

Cell lengths 8.9034, 8.9034, 8.9034 Å; angles 59.15, 59.15, 59.15 degrees
Sites, in units of the cell vectors:
1 La 0.0000 0.5000 0.5000
2 La 0.5000 0.0000 0.5000
3 La 0.5000 0.5000 0.0000
4 Y 0.5000 0.5000 0.5000
5 Tm 0.0000 0.0000 0.5000
6 Tm 0.0000 0.5000 0.0000
7 Tm 0.5000 0.0000 0.0000
8 Te 0.2343 0.7517 0.7517
9 Te 0.2432 0.2432 0.2432
10 Te 0.2483 0.2483 0.7657
11 Te 0.2483 0.7657 0.2483
12 Te 0.7517 0.2343 0.7517
13 Te 0.7517 0.7517 0.2343
14 Te 0.7568 0.7568 0.7568
15 Te 0.7657 0.2483 0.2483

No. 6
This record from the Alexandria database describes a relaxed structure of La3Y3TmTe8. The functional is PBE.

Output
Symmetry: R-3m

Cell lengths 8.9535, 8.9535, 8.9535 Å; angles 59.22, 59.22, 59.22 degrees
Sites, in units of the cell vectors:
1 La 0.0000 0.5000 0.5000
2 La 0.5000 0.0000 0.5000
3 La 0.5000 0.5000 0.0000
4 Y 0.0000 0.0000 0.5000
5 Y 0.0000 0.5000 0.0000
6 Y 0.5000 0.0000 0.0000
7 Tm 0.5000 0.5000 0.5000
8 Te 0.2420 0.7478 0.7478
9 Te 0.2449 0.2449 0.2449
10 Te 0.2522 0.2522 0.7580
11 Te 0.2522 0.7580 0.2522
12 Te 0.7478 0.2420 0.7478
13 Te 0.7478 0.7478 0.2420
14 Te 0.7551 0.7551 0.7551
15 Te 0.7580 0.2522 0.2522

No. 7
This record from the Alexandria database describes a relaxed structure of La2YTm3Te6. The functional is PBE.

Output
Symmetry: C2/m

Cell lengths 9.9087, 9.9087, 8.9217 Å; angles 104.59, 104.59, 25.39 degrees
Sites, in units of the cell vectors:
1 La 0.1670 0.1670 0.3333
2 La 0.8330 0.8330 0.6667
3 Y 0.5000 0.5000 0.0000
4 Tm 0.1710 0.1710 0.8342
5 Tm 0.5000 0.5000 0.5000
6 Tm 0.8290 0.8290 0.1658
7 Te 0.0065 0.0065 0.7491
8 Te 0.3342 0.3342 0.9327
9 Te 0.3387 0.3387 0.4054
10 Te 0.6613 0.6613 0.5946
11 Te 0.6658 0.6658 0.0673
12 Te 0.9935 0.9935 0.2509

No. 8
This record from the Alexandria database describes a relaxed structure of LaYTmTe3. The functional is PBE.

Output
Symmetry: P2_1/m

Cell lengths 8.5947, 4.3278, 10.8598 Å; angles 90.00, 106.77, 90.00 degrees
Sites, in units of the cell vectors:
1 La 0.1841 0.2500 0.2204
2 La 0.8159 0.7500 0.7796
3 Y 0.1529 0.2500 0.6232
4 Y 0.8471 0.7500 0.3768
5 Tm 0.3367 0.7500 0.9031
6 Tm 0.6633 0.2500 0.0969
7 Te 0.0960 0.2500 0.8968
8 Te 0.2289 0.7500 0.4541
9 Te 0.4792 0.7500 0.1962
10 Te 0.5208 0.2500 0.8038
11 Te 0.7711 0.2500 0.5459
12 Te 0.9040 0.7500 0.1032

No. 9
This record from the Alexandria database describes a relaxed structure of LaU2Te5. The functional is PBE.

Output
Symmetry: I4/mcm

Cell lengths 9.2656, 9.2656, 9.2656 Å; angles 128.08, 128.08, 76.50 degrees
Sites, in units of the cell vectors:
1 La 0.2500 0.2500 0.0000
2 La 0.7500 0.7500 0.0000
3 U 0.1404 0.6404 0.7809
4 U 0.3596 0.1404 0.5000
5 U 0.6404 0.8596 0.5000
6 U 0.8596 0.3596 0.2191
7 Te 0.0000 0.0000 0.0000
8 Te 0.0143 0.1948 0.5000
9 Te 0.1948 0.6948 0.1805
10 Te 0.3052 0.4857 0.5000
11 Te 0.4857 0.9857 0.1805
12 Te 0.5000 0.5000 0.0000
13 Te 0.5143 0.0143 0.8195
14 Te 0.6948 0.5143 0.5000
15 Te 0.8052 0.3052 0.8195
16 Te 0.9857 0.8052 0.5000

No. 10
This record from the Alexandria database describes a relaxed structure of LaUTe3. The functional is PBE.

Output
Symmetry: Cmmm

Cell lengths 9.7924, 9.7924, 5.8656 Å; angles 90.00, 90.00, 134.14 degrees
Sites, in units of the cell vectors:
1 La 0.2074 0.7926 0.0000
2 La 0.7926 0.2074 0.0000
3 U 0.3844 0.6156 0.5000
4 U 0.6156 0.3844 0.5000
5 Te 0.0000 0.5000 0.5000
6 Te 0.2262 0.2262 0.5000
7 Te 0.3775 0.6225 0.0000
8 Te 0.5000 0.0000 0.5000
9 Te 0.6225 0.3775 0.0000
10 Te 0.7738 0.7738 0.5000

No. 11
This record from the Alexandria database describes a relaxed structure of LaUTe2. The functional is PBE.

Output
Symmetry: R-3m

Cell lengths 10.4913, 10.4913, 10.4913 Å; angles 22.70, 22.70, 22.70 degrees
Sites, in units of the cell vectors:
1 La 0.0000 0.0000 0.0000
2 U 0.5000 0.5000 0.5000
3 Te 0.1027 0.1027 0.1027
4 Te 0.8973 0.8973 0.8973

No. 12
This record from the Alexandria database describes a relaxed structure of LaUTe6. The functional is PBE.

Output
Symmetry: Amm2

Cell lengths 4.4681, 13.6121, 13.6121 Å; angles 18.52, 90.00, 90.00 degrees
Sites, in units of the cell vectors:
1 La 0.0000 0.0000 0.0000
2 U 0.5000 0.6586 0.6586
3 Te 0.0000 0.1256 0.1256
4 Te 0.0000 0.4042 0.4042
5 Te 0.0000 0.7451 0.7451
6 Te 0.5000 0.2456 0.2456
7 Te 0.5000 0.5380 0.5380
8 Te 0.5000 0.9045 0.9045

Number 1: ΔE_f (raw) -1.27 eV/atom. Number 2: ΔE_f (raw) -1.30 eV/atom. Number 3: ΔE_f (raw) -0.88 eV/atom. Number 4: ΔE_f (raw) -1.26 eV/atom. Number 5: ΔE_f (raw) -1.44 eV/atom. Number 6: ΔE_f (raw) -1.47 eV/atom. Number 7: ΔE_f (raw) -1.34 eV/atom. Number 8: ΔE_f (raw) -1.28 eV/atom. Number 9: ΔE_f (raw) -0.95 eV/atom. Number 10: ΔE_f (raw) -0.70 eV/atom. Number 11: ΔE_f (raw) -0.48 eV/atom. Number 12: ΔE_f (raw) -0.81 eV/atom.